The following is a DFT calculation (PBE-GGA) of crystalline Pr2Sb3Pd4 at its relaxed geometry.

The structure in CIF format:
```
data_Pr2Sb3Pd4
_space_group_name_H-M_alt 'P 1'
_space_group_IT_number 1
_cell_length_a 8.654
_cell_length_b 8.654
_cell_length_c 7.692
_cell_angle_alpha 90.00
_cell_angle_beta 90.00
_cell_angle_gamma 136.55
loop_
_space_group_symop_operation_xyz
'x,y,z'
loop_
_atom_site_label
_atom_site_type_symbol
_atom_site_fract_x
_atom_site_fract_y
_atom_site_fract_z
_atom_site_occupancy
Pr1 Pr 0.108 0.892 0.912 1
Pr2 Pr 0.392 0.608 0.412 1
Pr3 Pr 0.608 0.392 0.588 1
Pr4 Pr 0.892 0.108 0.088 1
Sb1 Sb 0.000 0.000 0.500 1
Sb2 Sb 0.014 0.486 0.750 1
Sb3 Sb 0.486 0.014 0.250 1
Sb4 Sb 0.500 0.500 0.000 1
Sb5 Sb 0.514 0.986 0.750 1
Sb6 Sb 0.986 0.514 0.250 1
Pd1 Pd 0.174 0.826 0.515 1
Pd2 Pd 0.187 0.313 0.750 1
Pd3 Pd 0.313 0.187 0.250 1
Pd4 Pd 0.326 0.674 0.015 1
Pd5 Pd 0.674 0.326 0.985 1
Pd6 Pd 0.687 0.813 0.750 1
Pd7 Pd 0.813 0.687 0.250 1
Pd8 Pd 0.826 0.174 0.485 1
```

Calculated values
Total magnetic moment, μB per atom: 0.000
SG: No. 64
Formation energy without anion corrections, kcal/mol of atoms: -17.83

=====

The following is a DFT calculation (PBE-GGA) of crystalline Pr3SbPd at its relaxed geometry.

The structure in CIF format:
```
data_Pr3SbPd
_space_group_name_H-M_alt 'P 1'
_space_group_IT_number 1
_cell_length_a 8.330
_cell_length_b 8.330
_cell_length_c 8.753
_cell_angle_alpha 91.53
_cell_angle_beta 91.53
_cell_angle_gamma 29.88
loop_
_space_group_symop_operation_xyz
'x,y,z'
loop_
_atom_site_label
_atom_site_type_symbol
_atom_site_fract_x
_atom_site_fract_y
_atom_site_fract_z
_atom_site_occupancy
Pr1 Pr 0.040 0.040 0.196 1
Pr2 Pr 0.247 0.247 0.797 1
Pr3 Pr 0.398 0.398 0.451 1
Pr4 Pr 0.602 0.602 0.549 1
Pr5 Pr 0.753 0.753 0.203 1
Pr6 Pr 0.960 0.960 0.804 1
Sb1 Sb 0.389 0.389 0.067 1
Sb2 Sb 0.611 0.611 0.933 1
Pd1 Pd 0.205 0.205 0.425 1
Pd2 Pd 0.795 0.795 0.575 1
```

Calculated values
Total magnetic moment, μB per atom: 0.000
SG: No. 12
Formation energy without anion corrections, kcal/mol of atoms: -16.74

=====

The following is a DFT calculation (PBE-GGA) of crystalline PrSb6Pd12 at its relaxed geometry.

The structure in CIF format:
```
data_PrSb6Pd12
_space_group_name_H-M_alt 'P 1'
_space_group_IT_number 1
_cell_length_a 7.567
_cell_length_b 7.567
_cell_length_c 7.567
_cell_angle_alpha 104.67
_cell_angle_beta 104.67
_cell_angle_gamma 104.67
loop_
_space_group_symop_operation_xyz
'x,y,z'
loop_
_atom_site_label
_atom_site_type_symbol
_atom_site_fract_x
_atom_site_fract_y
_atom_site_fract_z
_atom_site_occupancy
Pr1 Pr 0.000 0.000 0.000 1
Sb1 Sb 0.264 0.264 0.681 1
Sb2 Sb 0.264 0.681 0.264 1
Sb3 Sb 0.319 0.736 0.736 1
Sb4 Sb 0.681 0.264 0.264 1
Sb5 Sb 0.736 0.319 0.736 1
Sb6 Sb 0.736 0.736 0.319 1
Pd1 Pd 0.120 0.500 0.880 1
Pd2 Pd 0.120 0.880 0.500 1
Pd3 Pd 0.124 0.368 0.368 1
Pd4 Pd 0.368 0.124 0.368 1
Pd5 Pd 0.368 0.368 0.124 1
Pd6 Pd 0.500 0.120 0.880 1
Pd7 Pd 0.500 0.880 0.120 1
Pd8 Pd 0.632 0.632 0.876 1
Pd9 Pd 0.632 0.876 0.632 1
Pd10 Pd 0.876 0.632 0.632 1
Pd11 Pd 0.880 0.120 0.500 1
Pd12 Pd 0.880 0.500 0.120 1
```

Calculated values
Total magnetic moment, μB per atom: 0.000
SG: No. 166
Formation energy without anion corrections, kcal/mol of atoms: -9.12

=====

The following is a DFT calculation (PBE-GGA) of crystalline PrSbPd2 at its relaxed geometry.

The structure in CIF format:
```
data_PrSbPd2
_space_group_name_H-M_alt 'P 1'
_space_group_IT_number 1
_cell_length_a 8.416
_cell_length_b 7.133
_cell_length_c 5.883
_cell_angle_alpha 90.00
_cell_angle_beta 90.00
_cell_angle_gamma 90.00
loop_
_space_group_symop_operation_xyz
'x,y,z'
loop_
_atom_site_label
_atom_site_type_symbol
_atom_site_fract_x
_atom_site_fract_y
_atom_site_fract_z
_atom_site_occupancy
Pr1 Pr 0.059 0.250 0.164 1
Pr2 Pr 0.441 0.750 0.664 1
Pr3 Pr 0.559 0.250 0.336 1
Pr4 Pr 0.941 0.750 0.836 1
Sb1 Sb 0.108 0.750 0.326 1
Sb2 Sb 0.392 0.250 0.826 1
Sb3 Sb 0.608 0.750 0.174 1
Sb4 Sb 0.892 0.250 0.674 1
Pd1 Pd 0.176 0.045 0.599 1
Pd2 Pd 0.176 0.455 0.599 1
Pd3 Pd 0.324 0.545 0.099 1
Pd4 Pd 0.324 0.955 0.099 1
Pd5 Pd 0.676 0.045 0.901 1
Pd6 Pd 0.676 0.455 0.901 1
Pd7 Pd 0.824 0.545 0.401 1
Pd8 Pd 0.824 0.955 0.401 1
```

Calculated values
Total magnetic moment, μB per atom: 0.000
SG: No. 62
Formation energy without anion corrections, kcal/mol of atoms: -19.85

=====

The following is a DFT calculation (PBE-GGA) of crystalline Pr4Sb8Pd3 at its relaxed geometry.

The structure in CIF format:
```
data_Pr4Sb8Pd3
_space_group_name_H-M_alt 'P 1'
_space_group_IT_number 1
_cell_length_a 4.508
_cell_length_b 4.508
_cell_length_c 19.715
_cell_angle_alpha 90.00
_cell_angle_beta 90.00
_cell_angle_gamma 90.00
loop_
_space_group_symop_operation_xyz
'x,y,z'
loop_
_atom_site_label
_atom_site_type_symbol
_atom_site_fract_x
_atom_site_fract_y
_atom_site_fract_z
_atom_site_occupancy
Pr1 Pr 0.000 0.500 0.118 1
Pr2 Pr 0.000 0.500 0.626 1
Pr3 Pr 0.500 0.000 0.374 1
Pr4 Pr 0.500 0.000 0.882 1
Sb1 Sb 0.000 0.000 0.247 1
Sb2 Sb 0.000 0.000 0.753 1
Sb3 Sb 0.000 0.500 0.423 1
Sb4 Sb 0.000 0.500 0.930 1
Sb5 Sb 0.500 0.000 0.070 1
Sb6 Sb 0.500 0.000 0.577 1
Sb7 Sb 0.500 0.500 0.247 1
Sb8 Sb 0.500 0.500 0.753 1
Pd1 Pd 0.000 0.000 0.000 1
Pd2 Pd 0.000 0.000 0.500 1
Pd3 Pd 0.500 0.500 0.500 1
```

Calculated values
Total magnetic moment, μB per atom: 0.000
SG: No. 115
Formation energy without anion corrections, kcal/mol of atoms: -19.24

=====

The following is a DFT calculation (PBE-GGA) of crystalline Pr3Sb5Pd6 at its relaxed geometry.

The structure in CIF format:
```
data_Pr3Sb5Pd6
_space_group_name_H-M_alt 'P 1'
_space_group_IT_number 1
_cell_length_a 4.491
_cell_length_b 13.549
_cell_length_c 10.262
_cell_angle_alpha 90.00
_cell_angle_beta 90.00
_cell_angle_gamma 90.00
loop_
_space_group_symop_operation_xyz
'x,y,z'
loop_
_atom_site_label
_atom_site_type_symbol
_atom_site_fract_x
_atom_site_fract_y
_atom_site_fract_z
_atom_site_occupancy
Pr1 Pr 0.250 0.077 0.246 1
Pr2 Pr 0.250 0.423 0.246 1
Pr3 Pr 0.250 0.750 0.243 1
Pr4 Pr 0.750 0.250 0.757 1
Pr5 Pr 0.750 0.577 0.754 1
Pr6 Pr 0.750 0.923 0.754 1
Sb1 Sb 0.250 0.086 0.861 1
Sb2 Sb 0.250 0.414 0.861 1
Sb3 Sb 0.250 0.624 0.522 1
Sb4 Sb 0.250 0.750 0.833 1
Sb5 Sb 0.250 0.876 0.522 1
Sb6 Sb 0.750 0.124 0.478 1
Sb7 Sb 0.750 0.250 0.167 1
Sb8 Sb 0.750 0.376 0.478 1
Sb9 Sb 0.750 0.586 0.139 1
Sb10 Sb 0.750 0.914 0.139 1
Pd1 Pd 0.250 0.067 0.605 1
Pd2 Pd 0.250 0.250 0.014 1
Pd3 Pd 0.250 0.250 0.477 1
Pd4 Pd 0.250 0.433 0.605 1
Pd5 Pd 0.250 0.588 0.993 1
Pd6 Pd 0.250 0.912 0.993 1
Pd7 Pd 0.750 0.088 0.007 1
Pd8 Pd 0.750 0.412 0.007 1
Pd9 Pd 0.750 0.567 0.395 1
Pd10 Pd 0.750 0.750 0.523 1
Pd11 Pd 0.750 0.750 0.986 1
Pd12 Pd 0.750 0.933 0.395 1
```

Calculated values
Total magnetic moment, μB per atom: 0.000
SG: No. 59
Formation energy without anion corrections, kcal/mol of atoms: -20.42

=====

The following is a DFT calculation (PBE-GGA) of crystalline PrSbPd at its relaxed geometry.

The structure in CIF format:
```
data_PrSbPd
_space_group_name_H-M_alt 'P 1'
_space_group_IT_number 1
_cell_length_a 4.610
_cell_length_b 4.610
_cell_length_c 16.330
_cell_angle_alpha 90.00
_cell_angle_beta 90.00
_cell_angle_gamma 120.00
loop_
_space_group_symop_operation_xyz
'x,y,z'
loop_
_atom_site_label
_atom_site_type_symbol
_atom_site_fract_x
_atom_site_fract_y
_atom_site_fract_z
_atom_site_occupancy
Pr1 Pr 0.000 0.000 0.000 1
Pr2 Pr 0.000 0.000 0.250 1
Pr3 Pr 0.000 0.000 0.500 1
Pr4 Pr 0.000 0.000 0.750 1
Sb1 Sb 0.333 0.667 0.120 1
Sb2 Sb 0.333 0.667 0.380 1
Sb3 Sb 0.667 0.333 0.620 1
Sb4 Sb 0.667 0.333 0.880 1
Pd1 Pd 0.333 0.667 0.634 1
Pd2 Pd 0.333 0.667 0.866 1
Pd3 Pd 0.667 0.333 0.134 1
Pd4 Pd 0.667 0.333 0.366 1
```

Calculated values
Total magnetic moment, μB per atom: 0.000
SG: No. 194
Formation energy without anion corrections, kcal/mol of atoms: -24.49

=====

The following is a DFT calculation (PBE-GGA) of crystalline Pr2SbPd6 at its relaxed geometry.

The structure in CIF format:
```
data_Pr2SbPd6
_space_group_name_H-M_alt 'P 1'
_space_group_IT_number 1
_cell_length_a 5.881
_cell_length_b 5.881
_cell_length_c 6.045
_cell_angle_alpha 90.02
_cell_angle_beta 90.02
_cell_angle_gamma 59.99
loop_
_space_group_symop_operation_xyz
'x,y,z'
loop_
_atom_site_label
_atom_site_type_symbol
_atom_site_fract_x
_atom_site_fract_y
_atom_site_fract_z
_atom_site_occupancy
Pr1 Pr 0.168 0.168 0.321 1
Pr2 Pr 0.832 0.832 0.679 1
Sb1 Sb 0.500 0.500 0.500 1
Pd1 Pd 0.147 0.677 0.178 1
Pd2 Pd 0.323 0.323 0.820 1
Pd3 Pd 0.323 0.853 0.822 1
Pd4 Pd 0.677 0.147 0.178 1
Pd5 Pd 0.677 0.677 0.180 1
Pd6 Pd 0.853 0.323 0.822 1
```

Calculated values
ΔE to the lowest computed polymorph, kJ/mol of atoms: 0.0
Total magnetic moment, μB per atom: 0.000
SG: No. 12
Formation energy without anion corrections, kcal/mol of atoms: -17.18

=====

The following is a DFT calculation (PBE-GGA) of crystalline PrSb2Pd3 at its relaxed geometry.

The structure in CIF format:
```
data_PrSb2Pd3
_space_group_name_H-M_alt 'P 1'
_space_group_IT_number 1
_cell_length_a 9.032
_cell_length_b 9.032
_cell_length_c 10.482
_cell_angle_alpha 106.34
_cell_angle_beta 106.34
_cell_angle_gamma 27.98
loop_
_space_group_symop_operation_xyz
'x,y,z'
loop_
_atom_site_label
_atom_site_type_symbol
_atom_site_fract_x
_atom_site_fract_y
_atom_site_fract_z
_atom_site_occupancy
Pr1 Pr 0.000 0.000 0.000 1
Pr2 Pr 0.157 0.157 0.702 1
Pr3 Pr 0.843 0.843 0.298 1
Sb1 Sb 0.198 0.198 0.124 1
Sb2 Sb 0.359 0.359 0.545 1
Sb3 Sb 0.465 0.465 0.219 1
Sb4 Sb 0.535 0.535 0.781 1
Sb5 Sb 0.641 0.641 0.455 1
Sb6 Sb 0.802 0.802 0.876 1
Pd1 Pd 0.044 0.044 0.341 1
Pd2 Pd 0.215 0.215 0.386 1
Pd3 Pd 0.326 0.326 0.036 1
Pd4 Pd 0.379 0.379 0.806 1
Pd5 Pd 0.500 0.500 0.500 1
Pd6 Pd 0.621 0.621 0.194 1
Pd7 Pd 0.674 0.674 0.964 1
Pd8 Pd 0.785 0.785 0.614 1
Pd9 Pd 0.956 0.956 0.659 1
```

Calculated values
ΔE to the lowest computed polymorph, kJ/mol of atoms: 0.0
Total magnetic moment, μB per atom: 0.000
SG: No. 12
Formation energy without anion corrections, kcal/mol of atoms: -18.11